Below is a relaxed structure of NbSiNO, with properties calculated at the PBE level.

abc: 5.736 6.301 5.700
angles: 90.00 90.00 90.00
Sites, in units of the cell vectors:
Nb 0.086 0.149 0.000
Nb 0.414 0.149 0.500
Nb 0.586 0.851 0.000
Nb 0.914 0.851 0.500
Si 0.190 0.702 0.127
Si 0.310 0.702 0.627
Si 0.690 0.298 0.127
Si 0.810 0.298 0.627
N 0.059 0.129 0.643
N 0.441 0.129 0.143
N 0.559 0.871 0.643
N 0.941 0.871 0.143
O 0.127 0.456 0.069
O 0.373 0.456 0.569
O 0.627 0.544 0.069
O 0.873 0.544 0.569

Output
Volume in Å³ per cell: 206.0
Symmetry: Pca2_1, No. 29
Calculated total energy in eV per atom: -8.249
Crystal system: orthorhombic